DFT (PBE with a Hubbard U) results for crystalline VCoO2 at its relaxed geometry.

The structure in POSCAR format:
```
VCoO2
1.0
-2.501 -1.870 -3.380
3.541 -2.718 -1.116
-1.048 -5.555 0.715
Co O V
2 4 2
direct
0.000 0.000 0.000 Co
0.750 0.250 0.500 Co
0.613 0.125 0.250 O
0.137 0.625 0.250 O
0.375 0.387 0.750 O
0.875 0.863 0.750 O
0.500 0.500 0.000 V
0.250 0.750 0.500 V
```

Values from the calculation:
The raw total energy is -6.78 eV per atom. The value obtained for the magnetization is 4.1 μB/f.u. For the offset from the most stable computed form, the calculation gives 0.212 eV per atom.